A relaxed structure of Mn2Hg. Source: Alexandria, functional PBE.

Lattice parameters (Å, degrees): 7.7572 7.7572 3.0400 90.00 90.00 120.00
Closest atoms and distances in Å follow each position.
Fractional positions:
Mn (0.0000, 0.2988, 0.0000)  4 Hg 2.73-2.77, 8 Mn 2.99-3.04
Mn (0.0000, 0.6311, 0.5000)  5 Hg 2.86-2.89, 8 Mn 2.99-3.04
Mn (0.2988, 0.0000, 0.0000)  4 Hg 2.73-2.77, 8 Mn 2.99-3.04
Mn (0.3689, 0.3689, 0.5000)  5 Hg 2.86-2.89, 8 Mn 2.99-3.04
Mn (0.6311, 0.0000, 0.5000)  5 Hg 2.86-2.89, 8 Mn 2.99-3.04
Mn (0.7012, 0.7012, 0.0000)  4 Hg 2.73-2.77, 8 Mn 2.99-3.04
Hg (0.0000, 0.0000, 0.5000)  9 Mn 2.77-2.86, 2 Hg 3.04
Hg (0.3333, 0.6667, 0.0000)  9 Mn 2.73-2.89, 2 Hg 3.04
Hg (0.6667, 0.3333, 0.0000)  9 Mn 2.73-2.89, 2 Hg 3.04

Values from the calculation:
Total moment (Bohr magnetons per cell): 23.15
Density of states at the Fermi level (states/eV/cell): 8.36
Formation energy from the elements (eV per atom): 0.480
Calculated density (g/cm3): 9.76

---

A relaxed structure of MnHg. Source: Alexandria, functional PBE.

Lattice parameters (Å, degrees): 6.1943 6.1943 6.0537 106.29 106.29 30.14
Closest atoms and distances in Å follow each position.
Fractional positions:
Mn (0.0000, 0.0000, 0.0000)  6 Hg 2.83-3.03, 4 Mn 2.91
Mn (0.3376, 0.3376, 0.1632)  5 Hg 2.78-2.87, 4 Mn 2.91
Mn (0.6624, 0.6624, 0.8368)  5 Hg 2.78-2.87, 4 Mn 2.91
Hg (0.0000, 0.0000, 0.5000)  6 Mn 2.87-3.03, 4 Hg 3.13
Hg (0.3272, 0.3272, 0.6992)  5 Mn 2.78-2.85, 2 Hg 3.04
Hg (0.6728, 0.6728, 0.3008)  5 Mn 2.78-2.85, 2 Hg 3.04

Values from the calculation:
Excess energy over the best structure of this formula in the dataset (eV/f.u.): 0.13
Total moment (Bohr magnetons per cell): 11.30
Density of states at the Fermi level (states/eV/cell): 4.84
Formation energy from the elements (eV per atom): 0.390
Calculated density (g/cm3): 11.41

---

A relaxed structure of Mn2Hg. Source: Alexandria, functional PBE.

Lattice parameters (Å, degrees): 5.4802 5.4802 6.8191 103.75 103.75 31.32
Closest atoms and distances in Å follow each position.
Fractional positions:
Mn (0.0000, 0.0000, 0.0000)  4 Hg 2.80-2.85, 8 Mn 2.80-2.96
Mn (0.0552, 0.0552, 0.6185)  7 Mn 2.80-3.07, 5 Hg 2.83-2.92
Mn (0.3784, 0.3784, 0.2590)  8 Mn 2.82-3.07, 4 Hg 2.82-2.97
Mn (0.7187, 0.7187, 0.9403)  9 Mn 2.82-2.96, 3 Hg 2.85-2.86
Hg (0.3391, 0.3391, 0.6760)  8 Mn 2.83-2.97, 4 Hg 2.96-3.09
Hg (0.6530, 0.6530, 0.3207)  8 Mn 2.80-2.92, 4 Hg 2.96-3.09

Values from the calculation:
Total moment (Bohr magnetons per cell): 14.84
Density of states at the Fermi level (states/eV/cell): 5.79
Formation energy from the elements (eV per atom): 0.492
Calculated density (g/cm3): 9.99

---

A relaxed structure of MnHg3. Source: Alexandria, functional PBE.

Lattice parameters (Å, degrees): 5.7507 5.7507 5.7507 146.46 68.83 121.85
Closest atoms and distances in Å follow each position.
Fractional positions:
Mn (0.0000, 0.0000, 0.0000)  6 Hg 2.83-2.87
Hg (0.3925, 0.6728, 0.7197)  2 Mn 2.83, 1 Hg 3.09
Hg (0.5816, 0.0816, 0.5000)  2 Mn 2.87, 6 Hg 3.09-3.18
Hg (0.9532, 0.6728, 0.2803)  2 Mn 2.83, 1 Hg 3.09

Values from the calculation:
Total moment (Bohr magnetons per cell): 4.08
Density of states at the Fermi level (states/eV/cell): 2.26
Formation energy from the elements (eV per atom): 0.268
Calculated density (g/cm3): 12.39

---

A relaxed structure of Mn2Hg. Source: Alexandria, functional PBE.

Lattice parameters (Å, degrees): 4.9298 4.9298 5.6474 118.00 118.00 60.94
Closest atoms and distances in Å follow each position.
Fractional positions:
Mn (0.0695, 0.2626, 0.2526)  7 Mn 2.80-2.98, 5 Hg 2.82-2.89
Mn (0.2626, 0.0695, 0.7526)  7 Mn 2.80-2.98, 5 Hg 2.82-2.89
Mn (0.7374, 0.9305, 0.2474)  7 Mn 2.80-2.98, 5 Hg 2.82-2.89
Mn (0.9305, 0.7374, 0.7474)  7 Mn 2.80-2.98, 5 Hg 2.82-2.89
Hg (0.3972, 0.6028, 0.2500)  10 Mn 2.82-2.89, 2 Hg 3.01
Hg (0.6028, 0.3972, 0.7500)  10 Mn 2.82-2.89, 2 Hg 3.01

Values from the calculation:
Total moment (Bohr magnetons per cell): 14.43
Density of states at the Fermi level (states/eV/cell): 6.44
Formation energy from the elements (eV per atom): 0.455
Calculated density (g/cm3): 10.25

---

A relaxed structure of MnHg3. Source: Alexandria, functional PBE.

Lattice parameters (Å, degrees): 5.2117 5.2117 5.5165 104.62 104.62 37.10
Closest atoms and distances in Å follow each position.
Fractional positions:
Mn (0.0000, 0.0000, 0.0000)  6 Hg 2.87-3.19
Hg (0.2638, 0.2638, 0.7699)  3 Mn 2.87-3.19, 5 Hg 3.09-3.11
Hg (0.5000, 0.5000, 0.5000)  8 Hg 3.09-3.32, 4 Mn 3.22
Hg (0.7362, 0.7362, 0.2301)  3 Mn 2.87-3.19, 5 Hg 3.09-3.11

Values from the calculation:
Total moment (Bohr magnetons per cell): 4.23
Density of states at the Fermi level (states/eV/cell): 1.70
Formation energy from the elements (eV per atom): 0.276
Calculated density (g/cm3): 12.52

---

A relaxed structure of Mn3Hg5. Source: Alexandria, functional PBE.

Lattice parameters (Å, degrees): 8.0204 8.0204 5.9501 90.00 90.00 120.00
Closest atoms and distances in Å follow each position.
Fractional positions:
Mn (0.0000, 0.4137, 0.2500)  7 Hg 2.84-2.88
Mn (0.0000, 0.5863, 0.7500)  7 Hg 2.84-2.88
Mn (0.4137, 0.0000, 0.2500)  7 Hg 2.84-2.88
Mn (0.4137, 0.4137, 0.7500)  7 Hg 2.84-2.88
Mn (0.5863, 0.0000, 0.7500)  7 Hg 2.84-2.88
Mn (0.5863, 0.5863, 0.2500)  7 Hg 2.84-2.88
Hg (0.0000, 0.2281, 0.7500)  3 Mn 2.87-2.88, 2 Hg 3.17
Hg (0.0000, 0.7719, 0.2500)  3 Mn 2.87-2.88, 2 Hg 3.17
Hg (0.2281, 0.0000, 0.7500)  3 Mn 2.87-2.88, 2 Hg 3.17
Hg (0.2281, 0.2281, 0.2500)  3 Mn 2.87-2.88, 2 Hg 3.17
Hg (0.3333, 0.6667, 0.0000)  6 Mn 2.84, 2 Hg 2.98
Hg (0.3333, 0.6667, 0.5000)  6 Mn 2.84, 2 Hg 2.98
Hg (0.6667, 0.3333, 0.0000)  6 Mn 2.84, 2 Hg 2.98
Hg (0.6667, 0.3333, 0.5000)  6 Mn 2.84, 2 Hg 2.98
Hg (0.7719, 0.0000, 0.2500)  3 Mn 2.87-2.88, 2 Hg 3.17
Hg (0.7719, 0.7719, 0.7500)  3 Mn 2.87-2.88, 2 Hg 3.17

Values from the calculation:
Excess energy over the best structure of this formula in the dataset (eV/f.u.): 0.27
Total moment (Bohr magnetons per cell): 24.22
Density of states at the Fermi level (states/eV/cell): 10.10
Formation energy from the elements (eV per atom): 0.376
Calculated density (g/cm3): 11.70

---

A relaxed structure of MnHg3. Source: Alexandria, functional PBE.

Lattice parameters (Å, degrees): 6.9309 6.9309 6.9309 154.69 139.71 48.18
Closest atoms and distances in Å follow each position.
Fractional positions:
Mn (0.0000, 0.0000, 0.0000)  8 Hg 2.83-2.86, 2 Mn 3.04
Hg (0.1918, 0.6918, 0.5000)  2 Mn 2.86, 6 Hg 3.04-3.19
Hg (0.5000, 0.5000, 0.0000)  4 Mn 2.83, 2 Hg 3.04
Hg (0.8082, 0.3082, 0.5000)  2 Mn 2.86, 6 Hg 3.04-3.19

Values from the calculation:
Total moment (Bohr magnetons per cell): 3.87
Density of states at the Fermi level (states/eV/cell): 2.50
Formation energy from the elements (eV per atom): 0.216
Calculated density (g/cm3): 11.89

---

A relaxed structure of Mn2Hg. Source: Alexandria, functional PBE.

Lattice parameters (Å, degrees): 2.9924 2.9924 13.0348 90.00 90.00 120.00
Closest atoms and distances in Å follow each position.
Fractional positions:
Mn (0.0000, 0.0000, 0.0000)  6 Hg 2.90, 6 Mn 2.99
Mn (0.0000, 0.0000, 0.3597)  3 Mn 2.52
Mn (0.0000, 0.0000, 0.6403)  3 Mn 2.52
Mn (0.3333, 0.6667, 0.5000)  6 Mn 2.52
Hg (0.3333, 0.6667, 0.1786)  6 Mn 2.90-2.93, 6 Hg 2.99
Hg (0.3333, 0.6667, 0.8214)  6 Mn 2.90-2.93, 6 Hg 2.99

Values from the calculation:
Total moment (Bohr magnetons per cell): 7.58
Density of states at the Fermi level (states/eV/cell): 5.46
Formation energy from the elements (eV per atom): 0.446
Calculated density (g/cm3): 10.20

---

A relaxed structure of MnHg3. Source: Alexandria, functional PBE.

Lattice parameters (Å, degrees): 3.2526 3.2526 9.4655 90.00 90.00 120.00
Closest atoms and distances in Å follow each position.
Fractional positions:
Mn (0.0000, 0.0000, 0.0000)  6 Hg 2.85
Hg (0.0000, 0.0000, 0.5000)  12 Hg 3.20-3.25
Hg (0.6667, 0.3333, 0.2268)  3 Mn 2.85
Hg (0.6667, 0.3333, 0.7732)  3 Mn 2.85

Values from the calculation:
Total moment (Bohr magnetons per cell): 3.88
Density of states at the Fermi level (states/eV/cell): 2.65
Formation energy from the elements (eV per atom): 0.262
Calculated density (g/cm3): 12.57